The following is a GGA-PBE calculation of a relaxed structure of Li2Sc3Bi3, from Alexandria via LeMat-Bulk.

Cell lengths 8.5554, 8.5554, 6.0093 Å; angles 90.00, 90.00, 120.00 degrees
Space group P6_3/mcm (No. 193)
Inequivalent atoms, fractional coordinates:
Li: 0.3333 0.6667 0.0000 (multiplicity 4)
Sc: 0.0000 0.2401 0.2500 (multiplicity 6)
Bi: 0.0000 0.3919 0.7500 (multiplicity 6)

Properties
**Electronic total energy**: -4.89 eV/atom